## Pm2PrNd9 (GGA-PBE)

Data for a relaxed Pm2PrNd9 crystal.

Final energy (eV/atom): -4.73
Energy above the most stable polymorph in this dataset (meV per atom): 20
ΔH_f (0 K) (meV/atom): 33
Magnetization (μB/f.u.): 0.000

The structure in CIF format:
```
data_Pm2PrNd9
_chemical_formula_sum 'Pm2 Pr1 Nd9'
_space_group_name_H-M_alt 'P 6/m m m'
_space_group_IT_number 191
_space_group_name_Hall '-P 6 2'
_cell_length_a 11.6296
_cell_length_b 11.6296
_cell_length_c 3.6011
_cell_angle_alpha 90.00
_cell_angle_beta 90.00
_cell_angle_gamma 120.00
loop_
_atom_site_label
_atom_site_type_symbol
_atom_site_fract_x
_atom_site_fract_y
_atom_site_fract_z
Pm1 Pm 0.3333 0.6667 0.0000
Pr1 Pr 0.0000 0.0000 0.0000
Nd1 Nd 0.0000 0.5000 0.0000
Nd2 Nd 0.1743 0.3487 0.5000
```

## MnAsOs2 (GGA-PBE)

Data for a relaxed MnAsOs2 crystal.

Final energy (eV/atom): -8.51
ΔH_f (0 K) (meV/atom): 563
Magnetization (μB/f.u.): 2.830

The structure in CIF format:
```
data_MnAsOs2
_chemical_formula_sum 'Mn2 As2 Os4'
_space_group_name_H-M_alt 'C m m m'
_space_group_IT_number 65
_space_group_name_Hall '-C 2 2'
_cell_length_a 2.808
_cell_length_b 4.683
_cell_length_c 9.112
_cell_angle_alpha 90.00
_cell_angle_beta 90.00
_cell_angle_gamma 90.00
loop_
_atom_site_label
_atom_site_type_symbol
_atom_site_fract_x
_atom_site_fract_y
_atom_site_fract_z
Mn1 Mn 0.000 0.000 0.000
As1 As 0.000 0.000 0.500
Os1 Os 0.000 0.500 0.231
```

## Pu12BiPt5 (GGA-PBE)

Data for a relaxed Pu12BiPt5 crystal.

Final energy (eV/atom): -11.79
ΔH_f (0 K) (meV/atom): -340
Magnetization (μB/f.u.): 23.361

The structure in CIF format:
```
data_Pu12BiPt5
_chemical_formula_sum 'Pu24 Bi2 Pt10'
_space_group_name_H-M_alt 'I m m m'
_space_group_IT_number 71
_space_group_name_Hall '-I 2 2'
_cell_length_a 8.584
_cell_length_b 9.574
_cell_length_c 10.847
_cell_angle_alpha 90.00
_cell_angle_beta 90.00
_cell_angle_gamma 90.00
loop_
_atom_site_label
_atom_site_type_symbol
_atom_site_fract_x
_atom_site_fract_y
_atom_site_fract_z
Pu1 Pu 0.000 0.209 0.175
Pu2 Pu 0.181 0.500 0.263
Pu3 Pu 0.185 0.218 0.500
Bi1 Bi 0.000 0.500 0.000
Pt1 Pt 0.000 0.000 0.362
Pt2 Pt 0.000 0.500 0.500
Pt3 Pt 0.161 0.000 0.000
```

- Which value of ΔH_f (0 K) does entry 1 give?
  33 meV/atom

- ΔH_f (0 K) of number 1 (Pm2PrNd9)?
  33 meV/atom